No. 1
A plane-wave DFT calculation with PBE was carried out for crystalline BeSiMo2 at its relaxed geometry.

Values from the calculation:
Total magnetic moment ... 0.000 Bohr magnetons per cell
ρ ... 7.0 g cm⁻³
Formation energy from raw total energies ... -0.11 eV/atom

Unit cell a=3.1546 b=3.1546 c=5.4318 alpha=90.00 beta=90.00 gamma=90.00
Sites, in units of the cell vectors:
1 Be 0.5000 0.5000 0.7448
2 Mo 0.0000 0.0000 0.9867
3 Mo 0.5000 0.5000 0.2491
4 Si 0.0000 0.0000 0.5194



No. 2
A plane-wave DFT calculation with PBE was carried out for crystalline BeSiMo2 at its relaxed geometry.

Values from the calculation:
Total magnetic moment ... 0.000 Bohr magnetons per cell
ρ ... 6.8 g cm⁻³
Formation energy from raw total energies ... 0.19 eV/atom

Unit cell a=8.3780 b=8.3780 c=8.3780 alpha=19.21 beta=19.21 gamma=19.21
Sites, in units of the cell vectors:
1 Si 0.2500 0.2500 0.2500
2 Mo 0.0021 0.0021 0.0021
3 Mo 0.4979 0.4979 0.4979
4 Be 0.7500 0.7500 0.7500



No. 3
A plane-wave DFT calculation with PBE was carried out for crystalline BeSi2Mo at its relaxed geometry.

Values from the calculation:
Total magnetic moment ... 0.000 Bohr magnetons per cell
ρ ... 5.0 g cm⁻³
Formation energy from raw total energies ... 0.39 eV/atom

Unit cell a=6.6798 b=6.6798 c=5.3079 alpha=51.01 beta=51.01 gamma=90.00
Sites, in units of the cell vectors:
1 Be 0.2500 0.7500 0.5000
2 Be 0.5000 0.5000 0.0000
3 Mo 0.0000 0.0000 0.0000
4 Mo 0.7500 0.2500 0.5000
5 Si 0.5831 0.1250 0.2500
6 Si 0.3750 0.4169 0.7500
7 Si 0.8750 0.8331 0.7500
8 Si 0.1669 0.6250 0.2500



No. 4
A plane-wave DFT calculation with PBE was carried out for crystalline BeSi2Mo at its relaxed geometry.

Values from the calculation:
Total magnetic moment ... 0.000 Bohr magnetons per cell
ρ ... 5.1 g cm⁻³
Formation energy from raw total energies ... 0.25 eV/atom

Unit cell a=2.6896 b=2.6896 c=7.5079 alpha=90.00 beta=90.00 gamma=102.75
Sites, in units of the cell vectors:
1 Mo 0.5000 0.5000 0.7500
2 Si 0.0000 0.0000 0.4828
3 Si 0.0000 0.0000 0.0172
4 Be 0.5000 0.5000 0.2500



No. 5
A plane-wave DFT calculation with PBE was carried out for crystalline BeSiMo4 at its relaxed geometry.

Values from the calculation:
Total magnetic moment ... 0.000 Bohr magnetons per cell
ρ ... 7.2 g cm⁻³
Formation energy from raw total energies ... 0.68 eV/atom

Unit cell a=5.1595 b=5.1595 c=5.1595 alpha=60.00 beta=60.00 gamma=60.00
Sites, in units of the cell vectors:
1 Mo 0.8773 0.3742 0.3742
2 Mo 0.3742 0.3742 0.3742
3 Mo 0.3742 0.8773 0.3742
4 Mo 0.3742 0.3742 0.8773
5 Si 0.7500 0.7500 0.7500
6 Be 0.0000 0.0000 0.0000



No. 6
A plane-wave DFT calculation with PBE was carried out for crystalline BeSi2Mo at its relaxed geometry.

Values from the calculation:
Total magnetic moment ... 0.000 Bohr magnetons per cell
ρ ... 5.1 g cm⁻³
Formation energy from raw total energies ... 0.29 eV/atom

Unit cell a=2.6499 b=2.6499 c=7.4080 alpha=90.00 beta=90.00 gamma=90.00
Sites, in units of the cell vectors:
1 Si 0.0000 0.0000 0.4781
2 Si 0.0000 0.0000 0.0219
3 Be 0.5000 0.5000 0.2500
4 Mo 0.5000 0.5000 0.7500



Values for Fermi-level density of states, states/eV per cell, ordered as above
2.16 4.40 1.51 1.96 5.39 1.75